Record 1
A plane-wave DFT calculation with PBE was carried out for an optimized crystal structure of Al2Tl2Ag.

The structure in POSCAR format:
```
Al2Tl2Ag
1.0
-3.7183 0.1373 0.7031
0.4559 -2.4136 2.8820
-0.3937 5.3885 7.0628
Ag Al Tl
1 2 2
Direct
0.0000 0.0000 0.0000 Ag
0.7500 0.2500 0.5000 Al
0.2500 0.7500 0.5000 Al
0.4007 0.4007 0.1986 Tl
0.5993 0.5993 0.8014 Tl
```

Computed properties:
M_tot = 0.00 μB per cell
DFT total energy = -13.7 eV per cell
mass density = 7793 kg/m3
energy of formation from the pure elements = 135 kJ/mol of formula units

***

Record 2
A plane-wave DFT calculation with PBE was carried out for an optimized crystal structure of AlTlAg2.

The structure in POSCAR format:
```
AlTlAg2
1.0
-0.4829 3.4830 0.1456
-0.9800 0.0055 -3.3801
-6.2580 -0.9434 1.8129
Ag Tl Al
2 1 1
Direct
0.0000 0.0000 0.0307 Ag
0.5000 0.5000 0.2656 Ag
0.5000 0.5000 0.7519 Tl
0.0000 0.0000 0.4518 Al
```

Computed properties:
M_tot = 0.00 μB per cell
DFT total energy = -11.3 eV per cell
mass density = 9105 kg/m3
energy of formation from the pure elements = 51 kJ/mol of formula units

***

Record 3
A plane-wave DFT calculation with PBE was carried out for an optimized crystal structure of AlTlAg2.

The structure in POSCAR format:
```
AlTlAg2
1.0
-4.0931 -2.9042 1.5791
1.4126 -2.7998 4.2246
0.4242 5.1306 -1.0854
Tl Ag Al
1 2 1
Direct
0.7500 0.2500 0.5000 Tl
0.5000 0.5000 0.0000 Ag
0.0000 0.0000 0.0000 Ag
0.2500 0.7500 0.5000 Al
```

Computed properties:
M_tot = 0.00 μB per cell
DFT total energy = -11.1 eV per cell
mass density = 9287 kg/m3
energy of formation from the pure elements = 68 kJ/mol of formula units

***

Record 4
A plane-wave DFT calculation with PBE was carried out for an optimized crystal structure of AlTlAg2.

The structure in POSCAR format:
```
AlTlAg2
1.0
-4.8845 0.4170 1.1054
-4.0565 -2.6256 1.3802
0.1939 0.5575 5.5887
Tl Ag Al
1 2 1
Direct
0.2444 0.2444 0.2397 Tl
0.7559 0.7559 0.7236 Ag
0.0070 0.0070 0.9688 Ag
0.4927 0.4927 0.5679 Al
```

Computed properties:
M_tot = 0.00 μB per cell
DFT total energy = -11.3 eV per cell
mass density = 8938 kg/m3
energy of formation from the pure elements = 54 kJ/mol of formula units

***

Record 5
A plane-wave DFT calculation with PBE was carried out for an optimized crystal structure of AlTlAg2.

The structure in POSCAR format:
```
AlTlAg2
1.0
-0.0697 -1.5906 4.0342
-3.9242 -1.6938 -0.7357
1.8165 -3.6048 -1.3900
Ag Al Tl
2 1 1
Direct
0.0000 0.0000 0.0000 Ag
0.5000 0.5000 0.0000 Ag
0.5000 0.0000 0.5000 Al
0.0000 0.5000 0.5000 Tl
```

Computed properties:
M_tot = 0.00 μB per cell
DFT total energy = -11.1 eV per cell
mass density = 9246 kg/m3
energy of formation from the pure elements = 68 kJ/mol of formula units

***

Record 6
A plane-wave DFT calculation with PBE was carried out for an optimized crystal structure of TmAlTlAg.

The structure in POSCAR format:
```
TmAlTlAg
1.0
4.9806 0.0000 0.0000
2.4903 4.3134 0.0000
2.4903 1.4378 4.0667
Al Tm Tl Ag
1 1 1 1
Direct
0.5000 0.5000 0.5000 Al
0.0000 0.0000 0.0000 Tm
0.7500 0.7500 0.7500 Tl
0.2500 0.2500 0.2500 Ag
```

Computed properties:
M_tot = 0.00 μB per cell
DFT total energy = -14.0 eV per cell
mass density = 9659 kg/m3
energy of formation from the pure elements = -51 kJ/mol of formula units

***

Record 7
A plane-wave DFT calculation with PBE was carried out for an optimized crystal structure of Y4AlTlAg2.

The structure in POSCAR format:
```
Y4AlTlAg2
1.0
-0.5159 -0.0685 -5.1878
-4.3488 -1.8963 -2.1625
-5.1354 7.1218 -2.2034
Y Ag Al Tl
4 2 1 1
Direct
0.8728 0.8728 0.3816 Y
0.1272 0.1272 0.6184 Y
0.3775 0.3775 0.8676 Y
0.6225 0.6225 0.1324 Y
0.2474 0.2474 0.2578 Ag
0.7526 0.7526 0.7422 Ag
0.5000 0.5000 0.5000 Al
0.0000 0.0000 0.0000 Tl
```

Computed properties:
M_tot = 0.00 μB per cell
DFT total energy = -40.7 eV per cell
mass density = 6632 kg/m3
energy of formation from the pure elements = -288 kJ/mol of formula units

***

Record 8
A plane-wave DFT calculation with PBE was carried out for an optimized crystal structure of Tm2Al2Ag.

The structure in POSCAR format:
```
Tm2Al2Ag
1.0
-0.7917 3.8196 -2.2363
-5.4929 1.8209 0.5345
2.5734 6.8174 6.2127
Tm Al Ag
4 4 2
Direct
0.0795 0.7410 0.0999 Tm
0.3207 0.6871 0.6715 Tm
0.9205 0.2590 0.9001 Tm
0.6793 0.3130 0.3285 Tm
0.6393 0.8372 0.8843 Al
0.9275 0.7108 0.4342 Al
0.3607 0.1628 0.1157 Al
0.0725 0.2892 0.5658 Al
0.3765 0.8990 0.3481 Ag
0.6235 0.1010 0.6519 Ag
```

Computed properties:
M_tot = 0.00 μB per cell
DFT total energy = -42.4 eV per cell
mass density = 7417 kg/m3
energy of formation from the pure elements = -188 kJ/mol of formula units

***

Record 9
A plane-wave DFT calculation with PBE was carried out for an optimized crystal structure of Tm4Al12Ag.

The structure in POSCAR format:
```
Tm4Al12Ag
1.0
7.0575 0.0000 -2.4952
-3.5288 6.1120 -2.4952
0.0000 0.0000 7.4857
Al Tm Ag
12 4 1
Direct
0.3012 0.3012 0.0000 Al
0.6988 0.6988 0.0000 Al
0.0000 0.3012 0.3012 Al
0.0000 0.6988 0.6988 Al
0.7500 0.2500 0.5000 Al
0.6988 0.0000 0.6988 Al
0.5000 0.7500 0.2500 Al
0.5000 0.2500 0.7500 Al
0.7500 0.5000 0.2500 Al
0.2500 0.5000 0.7500 Al
0.2500 0.7500 0.5000 Al
0.3012 0.0000 0.3012 Al
0.5000 0.0000 0.0000 Tm
0.0000 0.5000 0.0000 Tm
0.5000 0.5000 0.5000 Tm
0.0000 0.0000 0.5000 Tm
0.0000 0.0000 0.0000 Ag
```

Computed properties:
M_tot = 0.00 μB per cell
DFT total energy = -72.4 eV per cell
mass density = 5695 kg/m3
energy of formation from the pure elements = -647 kJ/mol of formula units

***

Record 10
A plane-wave DFT calculation with PBE was carried out for an optimized crystal structure of TmAl2Ag.

The structure in POSCAR format:
```
TmAl2Ag
1.0
4.4301 0.0000 0.0000
0.0000 6.8167 0.0000
0.0000 0.0000 10.3157
Al Ag Tm
8 4 4
Direct
0.7500 0.0720 0.8438 Al
0.2500 0.2075 0.9624 Al
0.7500 0.2925 0.4624 Al
0.2500 0.4280 0.3438 Al
0.7500 0.7925 0.0376 Al
0.2500 0.7075 0.5376 Al
0.2500 0.9280 0.1562 Al
0.7500 0.5720 0.6562 Al
0.2500 0.5491 0.0973 Ag
0.7500 0.9509 0.5973 Ag
0.2500 0.0491 0.4027 Ag
0.7500 0.4509 0.9027 Ag
0.7500 0.2276 0.1718 Tm
0.7500 0.7276 0.3282 Tm
0.2500 0.7724 0.8282 Tm
0.2500 0.2724 0.6718 Tm
```

Computed properties:
M_tot = 0.00 μB per cell
DFT total energy = -65.8 eV per cell
mass density = 7053 kg/m3
energy of formation from the pure elements = -157 kJ/mol of formula units

***

Record 11
A plane-wave DFT calculation with PBE was carried out for an optimized crystal structure of Tm11Al9Ag4.

The structure in POSCAR format:
```
Tm11Al9Ag4
1.0
-3.4727 0.5297 -0.6633
-2.8565 -10.6739 6.4305
0.1633 10.3921 7.4445
Ag Tm Al
4 11 9
Direct
0.5000 0.5520 0.7525 Ag
0.5000 0.2475 0.4480 Ag
0.5000 0.7525 0.5520 Ag
0.5000 0.4480 0.2475 Ag
0.0000 0.2907 0.2907 Tm
0.0000 0.6387 0.3613 Tm
0.0000 0.3613 0.6387 Tm
0.0000 0.9419 0.5908 Tm
0.0000 0.0000 0.0000 Tm
0.0000 0.5908 0.9419 Tm
0.0000 0.0581 0.4092 Tm
0.0000 0.1606 0.8394 Tm
0.0000 0.4092 0.0581 Tm
0.0000 0.8394 0.1606 Tm
0.0000 0.7093 0.7093 Tm
0.5000 0.1587 0.6344 Al
0.5000 0.3656 0.8413 Al
0.5000 0.8413 0.3656 Al
0.5000 0.9315 0.7878 Al
0.5000 0.6344 0.1587 Al
0.5000 0.7878 0.9315 Al
0.5000 0.5000 0.5000 Al
0.5000 0.0685 0.2122 Al
0.5000 0.2122 0.0685 Al
```

Computed properties:
M_tot = 0.00 μB per cell
DFT total energy = -102.8 eV per cell
mass density = 7811 kg/m3
energy of formation from the pure elements = -825 kJ/mol of formula units

***

Record 12
A plane-wave DFT calculation with PBE was carried out for an optimized crystal structure of Tm6Al5Ag.

The structure in POSCAR format:
```
Tm6Al5Ag
1.0
-2.3577 -1.4436 4.2152
-4.3414 -4.1475 -3.8487
3.6506 -6.4898 2.8757
Al Ag Tm
5 1 6
Direct
0.3345 0.0000 0.3304 Al
0.6672 0.5000 0.6668 Al
0.0000 0.5000 0.0000 Al
0.3328 0.5000 0.3332 Al
0.6655 0.0000 0.6696 Al
0.0000 0.0000 0.0000 Ag
0.5000 0.2507 0.0000 Tm
0.1671 0.2508 0.6664 Tm
0.8329 0.7492 0.3336 Tm
0.1670 0.7492 0.6664 Tm
0.8330 0.2508 0.3336 Tm
0.5000 0.7493 0.0000 Tm
```

Computed properties:
M_tot = 0.00 μB per cell
DFT total energy = -52.9 eV per cell
mass density = 7674 kg/m3
energy of formation from the pure elements = -434 kJ/mol of formula units

***

> Which formula does entry 11 have?

Tm11Al9Ag4

***

Copy entry 7 word for word.
A plane-wave DFT calculation with PBE was carried out for an optimized crystal structure of Y4AlTlAg2.

The structure in POSCAR format:
```
Y4AlTlAg2
1.0
-0.5159 -0.0685 -5.1878
-4.3488 -1.8963 -2.1625
-5.1354 7.1218 -2.2034
Y Ag Al Tl
4 2 1 1
Direct
0.8728 0.8728 0.3816 Y
0.1272 0.1272 0.6184 Y
0.3775 0.3775 0.8676 Y
0.6225 0.6225 0.1324 Y
0.2474 0.2474 0.2578 Ag
0.7526 0.7526 0.7422 Ag
0.5000 0.5000 0.5000 Al
0.0000 0.0000 0.0000 Tl
```

Computed properties:
M_tot = 0.00 μB per cell
DFT total energy = -40.7 eV per cell
mass density = 6632 kg/m3
energy of formation from the pure elements = -288 kJ/mol of formula units

***

> Which of these has the lowest DFT total energy?

Tm11Al9Ag4